No. 1
! PrPuZnSi (PBE, relaxed); values from VASP
&SYSTEM
  ibrav = 0, nat = 4, ntyp = 4
/
ATOMIC_SPECIES
Pr 140.91 Pr.upf
Pu 244.00 Pu.upf
Zn 65.41 Zn.upf
Si 28.09 Si.upf
CELL_PARAMETERS angstrom
-2.185 3.057 3.458
1.712 0.047 4.811
2.527 4.069 1.771
ATOMIC_POSITIONS crystal
Pr 0.500 0.500 0.500
Pu 0.000 0.000 0.000
Zn 0.750 0.750 0.750
Si 0.250 0.250 0.250
! total moment: 6.10 μB per formula unit
! raw formation energy: -0.263 eV per atom
! E_tot: -26.9 eV for the cell shown
! DOS at the Fermi energy: 10.009 states/eV/cell



No. 2
! NbTl2CdS (PBE, relaxed); values from VASP
&SYSTEM
  ibrav = 0, nat = 5, ntyp = 4
/
ATOMIC_SPECIES
Tl 204.38 Tl.upf
Nb 92.91 Nb.upf
S 32.06 S.upf
Cd 112.41 Cd.upf
CELL_PARAMETERS angstrom
5.698 0.000 0.000
0.000 4.686 0.000
0.000 0.000 5.698
ATOMIC_POSITIONS crystal
Tl 0.500 0.000 0.000
Nb 0.000 0.000 0.000
S 0.000 0.500 0.000
Tl 0.000 0.000 0.500
Cd 0.500 0.500 0.500
! total moment: 0.00 μB per formula unit
! raw formation energy: 0.150 eV per atom
! E_tot: -19.1 eV for the cell shown
! DOS at the Fermi energy: 3.651 states/eV/cell